KBe2VBr8: relaxed, PBE.

For the total magnetic moment, the calculation gives 6.000 Bohr magnetons per cell. Its uncorrected formation energy is -1.017 eV per atom.

The structure belongs to space group R-3 (No. 148, hexagonal axes); the cell edges are 6.3715, 6.3715 and 30.0586 Å and the angles 90.00°, 90.00° and 120.00°. The distinct sites, in fractional coordinates, are K at (0.0000, 0.0000, 0.0000), Be at (0.0000, 0.0000, 0.2398), V at (0.0000, 0.0000, 0.5000), Br at (0.0000, 0.0000, 0.3105) and Br at (0.0044, 0.6602, 0.1166).